LiTe2As PBE-GGA relaxed; magnetization = 0.00 μB per cell; raw formation energy = -135 kJ/mol of formula units; energy above the lowest structure with this stoichiometry = 0.23 kcal/mol of atoms; E = -14.2 eV per cell; N(E_F) = 0.391 states/eV per cell
1.0
4.0958 0.0000 0.0000
0.0000 4.0958 0.0000
0.0000 0.0000 6.3804
Te As Li
2 1 1
Direct
0.5000 0.5000 0.3415 Te
0.0000 0.0000 0.8416 Te
0.0000 0.0000 0.4359 As
0.5000 0.5000 0.8810 Li